1.
DFT (PBE) results for an optimized crystal structure of ReSbW2.

Unit cell a=2.961 b=4.470 c=5.216 alpha=90.00 beta=95.84 gamma=90.00
Fractional positions:
1 Re 0.000 0.000 0.000
2 Sb 0.022 0.500 0.291
3 W 0.384 0.500 0.795
4 W 0.597 0.000 0.534

Values from the calculation:
calculated total energy = -10.067 eV per atom
space group = Pm, No. 6

---

2.
DFT (PBE) results for an optimized crystal structure of ReSb2W.

Unit cell a=4.334 b=4.334 c=8.026 alpha=90.00 beta=90.00 gamma=90.00
Fractional positions:
1 Re 0.000 0.000 0.000
2 Re 0.500 0.500 0.500
3 Sb 0.000 0.000 0.500
4 Sb 0.000 0.500 0.750
5 Sb 0.500 0.000 0.250
6 Sb 0.500 0.500 0.000
7 W 0.000 0.500 0.250
8 W 0.500 0.000 0.750

Values from the calculation:
calculated total energy = -7.555 eV per atom
energy relative to the lowest polymorph listed for this composition = 0.609 eV per atom
space group = I-4m2, No. 119

---

3.
DFT (PBE) results for an optimized crystal structure of ReSb2W.

Unit cell a=9.771 b=3.210 c=5.286 alpha=90.00 beta=112.94 gamma=90.00
Fractional positions:
1 Re 0.000 0.000 0.000
2 Re 0.500 0.500 0.000
3 Sb 0.045 0.500 0.474
4 Sb 0.252 0.500 0.120
5 Sb 0.545 0.000 0.474
6 Sb 0.752 0.000 0.120
7 W 0.302 0.000 0.611
8 W 0.802 0.500 0.611

Values from the calculation:
calculated total energy = -7.906 eV per atom
energy relative to the lowest polymorph listed for this composition = 0.258 eV per atom
space group = Cm, No. 8

---

Energy relative to the elements, uncorrected, record by record: 2.2; 3.4; 2.0 eV/f.u.